[1]
VASP calculation (PBE) on a relaxed structure of Ho2AuCl.

abc: 3.9677 3.9677 23.1850
angles: 90.00 90.00 120.00
With the nearest neighbours (Å) after each atom.
Space group R3m (No. 160, hexagonal axes)
Asymmetric unit:
1 Ho 0.0000 0.0000 0.0000  3 Au 2.85
2 Ho 0.0000 0.0000 0.1879  3 Au 2.84, 3 Cl 3.06
3 Au 0.0000 0.0000 0.5939  6 Ho 2.84-2.85
4 Cl 0.0000 0.0000 0.7668  6 Ho 3.06-3.26

Total moment: 0.00 μB per formula unit
Final energy: -4.559 eV per atom
ΔE_f (raw): -0.9891 eV per atom
Energy above the most stable polymorph in this dataset: 31 meV/atom

[2]
VASP calculation (PBE) on a relaxed structure of HoAuCl6.

abc: 5.6914 6.9395 7.3727
angles: 64.99 70.71 87.64
With the nearest neighbours (Å) after each atom.
Space group P-1 (No. 2)
Asymmetric unit:
1 Ho 0.0000 0.0000 0.0000  6 Cl 2.51-2.74
2 Au 0.5000 0.5000 0.0000  4 Cl 2.34-2.36
3 Cl 0.0069 0.8036 0.3720  1 Ho 2.51
4 Cl 0.2987 0.3772 0.8293  1 Au 2.36
5 Cl 0.4070 0.8429 0.8088  1 Au 2.34

Total moment: 0.00 μB per formula unit
Final energy: -3.534 eV per atom
ΔE_f (raw): -1.1675 eV per atom

[3]
VASP calculation (PBE) on a relaxed structure of HoAu2Cl6.

abc: 14.1629 12.4049 7.0521
angles: 90.00 100.60 90.00
With the nearest neighbours (Å) after each atom.
Space group C2/c (No. 15)
Asymmetric unit:
1 Ho 0.0000 0.0795 0.2500  6 Cl 2.65-2.66
2 Au 0.1244 0.3963 0.1196  2 Cl 2.30-2.36
3 Cl 0.0972 0.0746 0.6098  2 Ho 2.65-2.66
4 Cl 0.1252 0.4359 0.4795  1 Au 2.30
5 Cl 0.1371 0.2083 0.1720  1 Au 2.36

Total moment: 0.00 μB per formula unit
Final energy: -3.518 eV per atom
ΔE_f (raw): -1.0498 eV per atom